(1)
PBE CdPIr2, relaxed; E_form = 28.8 kJ/mol of atoms; total DFT energy (no corrections) = -5.7136 eV/atom; space group = No. 10; energy above the most stable polymorph in this dataset = 0.389 eV per atom
1.0
-0.274 -3.874 3.190
4.272 0.830 -1.416
0.393 1.831 2.258
Ir P Cd
2 1 1
direct
0.000 0.000 0.000
0.500 0.000 0.500
0.000 0.500 0.500
0.500 0.500 0.000



(2)
PBE Cd2PIr2, relaxed; E_form = -4.9 kJ/mol of atoms; total DFT energy (no corrections) = -5.0428 eV/atom; space group = No. 127
1.0
-0.845 0.397 6.041
6.013 -0.656 0.884
0.541 4.653 -0.230
P Ir Cd
2 4 4
direct
0.000 0.000 0.000
0.500 0.500 0.000
0.841 0.659 0.000
0.159 0.341 0.000
0.659 0.159 0.000
0.341 0.841 0.000
0.162 0.662 0.500
0.338 0.162 0.500
0.662 0.838 0.500
0.838 0.338 0.500